(1)
HoTaPb, optimized geometry, DFT PBE; spin magnetization = 3.01 μB per cell; symmetry = F-43m (216); energy above the most stable polymorph in this dataset = 1.28 eV/f.u.
1.0
0.000 3.548 3.548
3.548 0.000 3.548
3.548 3.548 0.000
Ho Pb Ta
1 1 1
Cartesian
0.000 0.000 0.000 Ho
1.774 1.774 1.774 Pb
5.322 5.322 5.322 Ta

(2)
TbHoZn2Pb2, optimized geometry, DFT PBE; spin magnetization = 0.02 μB per cell; symmetry = P6_3/mmc (194); energy above the most stable polymorph in this dataset = 0.02 eV/f.u.
1.0
-3.187 -3.264 0.487
2.496 0.215 -3.844
10.943 -9.705 6.562
Ho Pb Tb Zn
2 4 2 4
Cartesian
0.000 0.000 0.000 Ho
5.471 -4.853 3.281 Ho
1.805 -2.012 -1.679 Pb
4.869 -4.730 0.159 Pb
5.382 -8.025 3.046 Pb
8.446 -10.743 4.884 Pb
2.736 -2.426 1.641 Tb
8.207 -7.279 4.922 Tb
0.514 -3.707 0.127 Zn
2.372 -5.355 1.241 Zn
7.880 -7.400 1.964 Zn
9.737 -9.048 3.078 Zn

(3)
TbHoZn2Pb2, optimized geometry, DFT PBE; spin magnetization = 0.03 μB per cell; symmetry = P6_3/mmc (194); energy above the most stable polymorph in this dataset = 0.00 eV/f.u.
1.0
4.587 0.000 0.000
-2.294 3.973 0.000
0.000 0.000 16.031
Ho Pb Tb Zn
2 4 2 4
Cartesian
0.000 0.000 4.008 Ho
0.000 0.000 12.023 Ho
0.000 2.648 1.767 Pb
0.000 2.648 6.249 Pb
2.294 1.324 9.783 Pb
2.294 1.324 14.264 Pb
0.000 0.000 0.000 Tb
0.000 0.000 8.016 Tb
2.294 1.324 2.649 Zn
2.294 1.324 5.366 Zn
0.000 2.648 10.665 Zn
0.000 2.648 13.382 Zn

Among the records above, which one has the highest energy above the most stable polymorph in this dataset?
HoTaPb

The highest energy above the most stable polymorph in this dataset belongs to which entry?
HoTaPb